Entry from Alexandria via LeMat-Bulk: a geometry-optimized ScRe2Hg structure (GGA-PBE).

a b c (Å): 2.9632 4.1150 5.8457
angles (deg): 90.00 95.80 90.00
Space group Pm (No. 6)
One atom of each set of equivalent atoms:
Sc  0.0000  0.0000  0.0000 (multiplicity 1)
Re  0.1104  0.0000  0.5616 (multiplicity 1)
Re  0.5139  0.5000  0.7396 (multiplicity 1)
Hg  0.5506  0.5000  0.2594 (multiplicity 1)

Magnetization in μB/f.u.: 0.00
Formation energy from the elements in eV/atom: 0.18
Raw total energy in Ry/atom: -0.566

=====

Entry from Alexandria via LeMat-Bulk: a geometry-optimized Ti6AuC4 structure (GGA-PBE).

a b c (Å): 3.1204 10.4618 16.6021
angles (deg): 90.00 90.00 90.00
Space group Cmcm (No. 63)
One atom of each set of equivalent atoms:
Ti  0.0000  0.0000  0.0000 (multiplicity 4)
Ti  0.0000  0.1381  0.2500 (multiplicity 4)
Ti  0.0000  0.2746  0.5759 (multiplicity 8)
Ti  0.0000  0.4660  0.1451 (multiplicity 8)
Au  0.0000  0.1623  0.7500 (multiplicity 4)
C  0.0000  0.0923  0.1207 (multiplicity 8)
C  0.0000  0.3611  0.0393 (multiplicity 8)

Magnetization in μB/f.u.: 0.00
Formation energy from the elements in eV/atom: -0.73
Raw total energy in Ry/atom: -0.639

=====

Entry from Alexandria via LeMat-Bulk: a geometry-optimized MnIn2Fe structure (GGA-PBE).

a b c (Å): 6.5223 6.5223 6.5223
angles (deg): 90.00 90.00 90.00
Space group F-43m (No. 216)
One atom of each set of equivalent atoms:
Mn  0.0000  0.0000  0.0000 (multiplicity 4)
In  0.0000  0.0000  0.5000 (multiplicity 4)
In  0.2500  0.2500  0.7500 (multiplicity 4)
Fe  0.2500  0.2500  0.2500 (multiplicity 4)

Magnetization in μB/f.u.: 5.49
Formation energy from the elements in eV/atom: 0.44
Raw total energy in Ry/atom: -0.392

=====

Entry from Alexandria via LeMat-Bulk: a geometry-optimized Pr4SnSb structure (GGA-PBE).

a b c (Å): 7.8110 5.6498 9.0364
angles (deg): 90.00 91.72 90.00
Space group C2/m (No. 12)
One atom of each set of equivalent atoms:
Pr  0.1292  0.0000  0.3561 (multiplicity 4)
Pr  0.1433  0.5000  0.1483 (multiplicity 4)
Sn  0.0000  0.5000  0.5000 (multiplicity 2)
Sb  0.0000  0.0000  0.0000 (multiplicity 2)

Magnetization in μB/f.u.: 0.00
Formation energy from raw total energies in eV per atom: -0.51
Raw total energy in Ry/atom: -0.371

=====

Entry from Alexandria via LeMat-Bulk: a geometry-optimized Mg2SnAu3 structure (GGA-PBE).

a b c (Å): 3.4224 3.4224 9.9344
angles (deg): 90.00 90.00 90.00
Space group P4/mmm (No. 123)
One atom of each set of equivalent atoms:
Mg  0.0000  0.0000  0.1582 (multiplicity 2)
Sn  0.0000  0.0000  0.5000 (multiplicity 1)
Au  0.5000  0.5000  0.0000 (multiplicity 1)
Au  0.5000  0.5000  0.3077 (multiplicity 2)

Magnetization in μB/f.u.: 0.00
Formation energy from the elements in eV/atom: -0.44
Raw total energy in Ry/atom: -0.241